DFT (PBE) results for crystalline Nb4Pt at its relaxed geometry.

Cell and atoms, written as CIF:
```
data_Nb4Pt
_cell_length_a 13.5198
_cell_length_b 4.6716
_cell_length_c 2.7943
_cell_angle_alpha 90.00
_cell_angle_beta 96.98
_cell_angle_gamma 90.00
_symmetry_space_group_name_H-M 'C 1 2/m 1'
_symmetry_Int_Tables_number 12
_symmetry_space_group_name_Hall '-C 2y'
loop_
_atom_site_label
_atom_site_fract_x
_atom_site_fract_y
_atom_site_fract_z
Nb1 0.0978 0.0000 0.4252
Nb2 0.2031 0.5000 0.8129
Pt1 0.0000 0.5000 0.0000
```

Output
Crystal system: monoclinic
Offset from the most stable computed form in meV/atom: 0.0
Size of the total moment in μB/f.u.: 0.00
Volume in A^3/atom: 17.5
Uncorrected energy in eV per atom: -9.5122